Below is Ac2InS after structural relaxation, with properties calculated at the PBE-GGA level.

Output
The value obtained for the energy relative to the lowest polymorph listed for this composition is 0.053 eV per atom. The calculation puts the total magnetization at 0.0 μB per cell. The calculation puts the uncorrected formation energy at -1.07 eV/atom.

Cell: 4.223 4.223 9.104 Å, 76.59 76.59 60.00°
Atoms (fractional coordinates):
Ac: 0.069 0.069 0.792
Ac: 0.264 0.264 0.209
In: 0.499 0.499 0.502
S: 0.667 0.667 0.998



Below is Tm3RuI3 after structural relaxation, with properties calculated at the PBE-GGA level.

Output
The calculation puts the total magnetization at 0.0 μB per cell. The calculation puts the uncorrected formation energy at -0.86 eV/atom.

Cell: 6.989 6.989 12.078 Å, 73.18 73.18 60.00°
Atoms (fractional coordinates):
Tm: 0.957 0.306 0.132
Tm: 0.605 0.957 0.132
Tm: 0.306 0.605 0.132
Tm: 0.694 0.395 0.868
Tm: 0.395 0.043 0.868
Tm: 0.043 0.694 0.868
Ru: 0.667 0.667 0.000
Ru: 0.333 0.333 0.000
I: 0.223 0.894 0.317
I: 0.566 0.223 0.317
I: 0.894 0.566 0.317
I: 0.106 0.434 0.683
I: 0.434 0.777 0.683
I: 0.777 0.106 0.683



Below is SiHgBr after structural relaxation, with properties calculated at the PBE-GGA level.

Output
The value obtained for the energy relative to the lowest polymorph listed for this composition is 0.314 eV per atom. The calculation puts the total magnetization at 0.0 μB per cell. The calculation puts the uncorrected formation energy at 0.31 eV/atom.

Cell: 3.907 3.907 5.771 Å, 90.00 90.00 120.00°
Atoms (fractional coordinates):
Br: 0.000 0.000 0.969
Hg: 0.333 0.667 0.381
Si: 0.667 0.333 0.650



Below is Nd6AgRu2Cl3 after structural relaxation, with properties calculated at the PBE-GGA level.

Output
The calculation puts the total magnetization at 0.0 μB per cell. The calculation puts the uncorrected formation energy at -0.89 eV/atom.

Cell: 7.169 7.169 8.000 Å, 98.39 98.39 120.19°
Atoms (fractional coordinates):
Nd: 0.932 0.571 0.791
Nd: 0.706 0.706 0.209
Nd: 0.068 0.429 0.209
Nd: 0.571 0.932 0.791
Nd: 0.294 0.294 0.791
Nd: 0.429 0.068 0.209
Ag: 0.000 0.000 0.000
Ru: 0.334 0.666 0.000
Ru: 0.666 0.334 0.000
Cl: 0.175 0.825 0.500
Cl: 0.825 0.175 0.500
Cl: 0.500 0.500 0.500